Entry a
BaCaW2 | PBE | relaxed

Structure (CIF):
```
data_BaCaW2
_cell_length_a 3.443
_cell_length_b 3.443
_cell_length_c 9.616
_cell_angle_alpha 90.00
_cell_angle_beta 90.00
_cell_angle_gamma 90.00
_space_group_name_H-M_alt 'P 4 m m'
_space_group_IT_number 99
loop_
_space_group_symop_operation_xyz
'x,y,z'
'-y,x,z'
'-x,-y,z'
'y,-x,z'
'-x,y,z'
'y,x,z'
'x,-y,z'
'-y,-x,z'
loop_
_atom_site_label
_atom_site_type_symbol
_atom_site_fract_x
_atom_site_fract_y
_atom_site_fract_z
_atom_site_occupancy
Ba1 Ba 0.000 0.000 0.000 1
Ca1 Ca 0.500 0.500 0.383 1
W1 W 0.000 0.000 0.617 1
W2 W 0.500 0.500 0.720 1
```

---

Entry b
BaCaW2 | PBE | relaxed

Structure (CIF):
```
data_BaCaW2
_cell_length_a 8.647
_cell_length_b 8.647
_cell_length_c 5.547
_cell_angle_alpha 90.00
_cell_angle_beta 90.00
_cell_angle_gamma 90.00
_space_group_name_H-M_alt 'I -4 2 d'
_space_group_IT_number 122
_space_group_name_Hall 'I -4 2bw'
loop_
_atom_site_label
_atom_site_type_symbol
_atom_site_fract_x
_atom_site_fract_y
_atom_site_fract_z
_atom_site_occupancy
Ba1 Ba 0.000 0.000 0.000 1
Ca1 Ca 0.000 0.000 0.500 1
W1 W 0.240 0.250 0.625 1
```

---

The most stable of them is entry a.